Material: CaNdNiHg
Method: DFT, PBE
State: relaxed

The space group is F-43m (No. 216) and the conventional cell measures 7.2996, 7.2996 and 7.2996 Å, with angles of 90.00, 90.00 and 90.00 degrees. The asymmetric unit holds Ca at (0.0000, 0.0000, 0.0000), Nd at (0.0000, 0.0000, 0.5000), Ni at (0.2500, 0.2500, 0.2500) and Hg at (0.2500, 0.2500, 0.7500).

The calculated formation energy comes out at -0.270 eV/atom. Its total magnetization is 0.00 μB/f.u.


Material: Os2RuRh
Method: DFT, PBE
State: relaxed

The space group is I4/mmm (No. 139) and the conventional cell measures 3.8294, 3.8294 and 7.7313 Å, with angles of 90.00, 90.00 and 90.00 degrees. The asymmetric unit holds Os at (0.0000, 0.5000, 0.2500), Ru at (0.0000, 0.0000, 0.0000) and Rh at (0.0000, 0.0000, 0.5000).

The offset from the most stable computed form is 0.115 eV/f.u. The calculated formation energy comes out at 0.114 eV/atom. Its total magnetization is 0.00 μB/f.u.


Material: Rb2HgBiAu
Method: DFT, PBE
State: relaxed

The space group is P4/mmm (No. 123) and the conventional cell measures 6.7641, 6.7641 and 5.4079 Å, with angles of 90.00, 90.00 and 90.00 degrees. The asymmetric unit holds Rb at (0.0000, 0.5000, 0.0000), Hg at (0.0000, 0.0000, 0.5000), Bi at (0.5000, 0.5000, 0.5000) and Au at (0.5000, 0.5000, 0.0000).

The calculated formation energy comes out at -0.187 eV/atom. Its total magnetization is 0.00 μB/f.u.


Material: ErPbAu
Method: DFT, PBE
State: relaxed

The space group is P3m1 (No. 156) and the conventional cell measures 4.8319, 4.8319 and 3.6173 Å, with angles of 90.00, 90.00 and 120.00 degrees. The asymmetric unit holds Er at (0.0000, 0.0000, 0.0000), Pb at (0.6667, 0.3333, 0.5582) and Au at (0.3333, 0.6667, 0.3801).

The calculated formation energy comes out at -0.486 eV/atom. Its total magnetization is 0.00 μB/f.u.


- Which formula does entry 1 have?
  CaNdNiHg


- Among the records above, which one has the highest calculated formation energy?
  Os2RuRh